A relaxed Pm3AlO6 crystal. Source: OQMD, functional PBE-GGA.

```
Pm3AlO6
1.0
2.026 6.714 -1.965
-6.554 1.106 2.978
2.355 0.727 4.913
Al O Pm
2 12 6
direct
0.193 0.807 0.486 Al
0.807 0.193 0.986 Al
0.354 0.327 0.293 O
0.673 0.646 0.293 O
0.786 0.214 0.306 O
0.108 0.589 0.329 O
0.411 0.892 0.329 O
0.046 0.954 0.367 O
0.327 0.354 0.793 O
0.646 0.673 0.793 O
0.214 0.786 0.806 O
0.589 0.108 0.829 O
0.892 0.411 0.829 O
0.954 0.046 0.867 O
0.298 0.085 0.023 Pm
0.915 0.702 0.023 Pm
0.395 0.605 0.066 Pm
0.085 0.298 0.523 Pm
0.702 0.915 0.523 Pm
0.605 0.395 0.566 Pm
```

**Theoretical density**: 6.5 g/cm3
**V**: 14.2 A^3/atom
**Final energy**: -0.2981 Ha/atom